A relaxed SiNiO2 crystal, computed with PBE+U.

Lattice parameters (Å, degrees): 4.498 5.009 5.337 82.91 67.95 64.30
Element x y z (fractional)
Si 0.000 0.000 0.000
Si 0.177 0.408 0.223
Ni 0.077 0.391 0.841
Ni 0.726 0.065 0.564
O 0.156 0.760 0.219
O 0.581 0.186 0.234
O 0.916 0.375 0.528
O 0.961 0.807 0.798

- M_tot (μB per atom) = 0.250
- uncorrected energy (eV per atom) = -5.9290
- Fermi-level density of states (states/eV/cell) = 0.0